# LiV2O3F3 | Alexandria via LeMat-Bulk | PBE with a Hubbard U | relaxed
data_LiV2O3F3
_symmetry_space_group_name_H-M 'P 1'
_symmetry_Int_Tables_number 1
_cell_length_a 5.115
_cell_length_b 5.116
_cell_length_c 13.546
_cell_angle_alpha 89.94
_cell_angle_beta 88.91
_cell_angle_gamma 60.71
loop_
_symmetry_equiv_pos_as_xyz
'x,y,z'
loop_
_atom_site_label
_atom_site_type_symbol
_atom_site_fract_x
_atom_site_fract_y
_atom_site_fract_z
Li1 Li 0.000 0.000 0.000
Li2 Li 0.313 0.366 0.339
Li3 Li 0.636 0.677 0.669
V1 V 0.283 0.375 0.119
V2 V 0.329 0.329 0.631
V3 V 0.659 0.662 0.965
V4 V 0.668 0.718 0.452
V5 V 0.968 0.960 0.787
V6 V 0.988 0.067 0.297
O1 O 0.235 0.110 0.220
O2 O 0.271 0.656 0.716
O3 O 0.379 0.634 0.048
O4 O 0.405 0.027 0.554
O5 O 0.653 0.051 0.719
O6 O 0.698 0.980 0.379
O7 O 0.895 0.735 0.885
O8 O 0.942 0.360 0.389
O9 O 0.998 0.389 0.050
F1 F 0.017 0.294 0.713
F2 F 0.048 0.692 0.218
F3 F 0.294 0.939 0.885
F4 F 0.318 0.737 0.381
F5 F 0.591 0.444 0.553
F6 F 0.619 0.020 0.051
F7 F 0.622 0.315 0.222
F8 F 0.726 0.306 0.890
F9 F 0.979 0.634 0.553
# VASP energy in eV/atom: -6.488
# Magnetic moment in μB/cell: 6.00